(1)
Here is CePm3Er8 after structural relaxation from the Alexandria database. Energies are from PBE.

Summary:
Total magnetic moment, μB per atom: 0.0995
Total energy, eV per cell: -53.01
Energy relative to the elements, eV per formula unit: 3.7

The structure in POSCAR format:
```
CePm3Er8
1.0
8.218 -1.333 -2.229
-5.908 6.142 -1.282
1.205 1.333 8.429
Er Ce Pm
8 1 3
Direct
0.170 0.249 0.420
0.995 0.750 0.246
0.171 0.751 0.921
0.005 0.250 0.755
0.504 0.750 0.754
0.830 0.250 0.079
0.496 0.250 0.245
0.829 0.750 0.580
0.000 0.000 0.000
0.500 0.742 0.242
0.500 0.258 0.758
0.000 0.500 0.500
```



(2)
Here is CePm4Er2 after structural relaxation from the Alexandria database. Energies are from PBE.

Summary:
Total magnetic moment, μB per atom: 0.1899
Total energy, eV per cell: -33.75
Energy relative to the elements, eV per formula unit: 0.3

The structure in POSCAR format:
```
CePm4Er2
1.0
-2.606 -1.442 2.026
2.871 -1.973 -0.913
9.656 6.267 16.876
Ce Er Pm
1 2 4
Direct
0.714 0.428 0.665
0.715 0.430 0.380
0.715 0.429 0.097
0.381 0.762 0.809
0.048 0.096 0.956
0.048 0.096 0.238
0.381 0.762 0.523
```



- Number 2 is which compound?
  CePm4Er2



- total magnetic moment of number 2 (CePm4Er2)?
  0.1899 μB per atom



- What is the total magnetic moment in the second record?
  0.1899 μB per atom



- Among the records above, which one has the lowest energy relative to the elements?
  CePm4Er2